# 1
Here is an optimized crystal structure of CsCa3Ac2Te6 from the Alexandria database. Energies are from GGA-PBE. Values from VASP.

Fermi-level density of states: 3.34 states/eV/cell
Space-group type: C2/m (12)
Total magnetic moment: 0.00 μB per formula unit
Uncorrected energy: -4.321 eV per atom
Formation energy from raw total energies: -1.494 eV/atom

Geometry as Quantum ESPRESSO input:
```
&SYSTEM
  ibrav = 0, nat = 12, ntyp = 4
/
ATOMIC_SPECIES
Cs 132.91 Cs.upf
Ca 40.08 Ca.upf
Ac 227.00 Ac.upf
Te 127.60 Te.upf
ATOMIC_POSITIONS crystal
Cs 0.5000 0.0000 0.0000
Ca 0.5000 0.5000 0.0000
Ca 0.8381 0.1675 0.6762
Ca 0.1619 0.8325 0.3238
Ac 0.8349 0.6669 0.6698
Ac 0.1651 0.3332 0.3302
Te 0.3201 0.9140 0.6402
Te 0.6658 0.5910 0.3316
Te 0.6799 0.0860 0.3598
Te 0.9992 0.2827 0.9983
Te 0.0008 0.7173 0.0017
Te 0.3342 0.4090 0.6684
CELL_PARAMETERS angstrom
4.6658 0.0000 0.0000
0.0000 9.6157 0.3966
-2.3329 -2.7241 9.8824
```

---

# 2
Here is an optimized crystal structure of CdPtCl2 from the Alexandria database. Energies are from GGA-PBE. Values from VASP.

Fermi-level density of states: 5.89 states/eV/cell
Space-group type: F-43m (216)
Total magnetic moment: 0.00 μB per formula unit
Uncorrected energy: -2.404 eV per atom
Formation energy from raw total energies: 0.258 eV/atom

Geometry as Quantum ESPRESSO input:
```
&SYSTEM
  ibrav = 0, nat = 4, ntyp = 3
/
ATOMIC_SPECIES
Cl 35.45 Cl.upf
Pt 195.08 Pt.upf
Cd 112.41 Cd.upf
ATOMIC_POSITIONS crystal
Cl 0.0000 0.0000 0.0000
Cl 0.2500 0.2500 0.2500
Pt 0.7500 0.7500 0.7500
Cd 0.5000 0.5000 0.5000
CELL_PARAMETERS angstrom
-0.2340 2.6318 -3.9971
-2.5230 -1.5708 -3.7583
-4.1007 2.1649 -1.2062
```

---

# 3
Here is an optimized crystal structure of Rb3Al5F12 from the Alexandria database. Energies are from GGA-PBE. Values from VASP.

Fermi-level density of states: 16.91 states/eV/cell
Space-group type: Ia-3d (230)
Total magnetic moment: 2.01 μB per formula unit
Uncorrected energy: -4.848 eV per atom
Formation energy from raw total energies: -2.644 eV/atom

Geometry as Quantum ESPRESSO input:
```
&SYSTEM
  ibrav = 0, nat = 80, ntyp = 3
/
ATOMIC_SPECIES
Rb 85.47 Rb.upf
Al 26.98 Al.upf
F 19.00 F.upf
ATOMIC_POSITIONS crystal
Rb 0.7500 0.3750 0.1250
Rb 0.8750 0.7500 0.1250
Rb 0.3750 0.7500 0.6250
Rb 0.2500 0.1250 0.3750
Rb 0.8750 0.1250 0.2500
Rb 0.3750 0.6250 0.2500
Rb 0.6250 0.3750 0.7500
Rb 0.1250 0.8750 0.7500
Rb 0.7500 0.8750 0.6250
Rb 0.6250 0.2500 0.3750
Rb 0.1250 0.2500 0.8750
Rb 0.2500 0.6250 0.8750
Al 0.1250 0.3750 0.2500
Al 0.0000 0.5000 0.0000
Al 0.0000 0.0000 0.0000
Al 0.3750 0.2500 0.1250
Al 0.5000 0.0000 0.5000
Al 0.5000 0.5000 0.0000
Al 0.1250 0.7500 0.3750
Al 0.7500 0.1250 0.8750
Al 0.7500 0.6250 0.3750
Al 0.3750 0.1250 0.7500
Al 0.6250 0.8750 0.2500
Al 0.5000 0.5000 0.5000
Al 0.5000 0.0000 0.0000
Al 0.0000 0.0000 0.5000
Al 0.2500 0.3750 0.6250
Al 0.2500 0.8750 0.1250
Al 0.0000 0.5000 0.5000
Al 0.8750 0.2500 0.6250
Al 0.6250 0.7500 0.8750
Al 0.8750 0.6250 0.7500
F 0.7534 0.1298 0.0074
F 0.2541 0.5074 0.3776
F 0.9926 0.3702 0.2466
F 0.5074 0.2534 0.1298
F 0.6236 0.7534 0.7459
F 0.9926 0.6224 0.2459
F 0.2541 0.7466 0.3764
F 0.1224 0.8764 0.1298
F 0.6224 0.9926 0.7459
F 0.7534 0.6236 0.2459
F 0.7466 0.4926 0.3702
F 0.7541 0.8776 0.0074
F 0.1298 0.7534 0.5074
F 0.3702 0.3776 0.1236
F 0.1236 0.8776 0.3702
F 0.3764 0.1298 0.6224
F 0.1236 0.2459 0.2534
F 0.4926 0.7459 0.1224
F 0.7541 0.8764 0.2466
F 0.1298 0.3764 0.1224
F 0.3702 0.9926 0.7466
F 0.6224 0.6298 0.3764
F 0.8776 0.7541 0.5074
F 0.7466 0.2541 0.8764
F 0.3776 0.3702 0.6236
F 0.1224 0.2459 0.4926
F 0.2534 0.7459 0.1236
F 0.2459 0.1236 0.7534
F 0.6298 0.0074 0.2534
F 0.8702 0.6236 0.8776
F 0.5074 0.2541 0.8776
F 0.6236 0.8702 0.3776
F 0.8764 0.7541 0.7466
F 0.8764 0.1224 0.6298
F 0.8702 0.2466 0.4926
F 0.2459 0.1224 0.9926
F 0.6298 0.6224 0.8764
F 0.3776 0.0074 0.2541
F 0.2466 0.3764 0.7541
F 0.2534 0.5074 0.6298
F 0.8776 0.1236 0.8702
F 0.7459 0.2534 0.6236
F 0.4926 0.7466 0.8702
F 0.0074 0.3776 0.7541
F 0.3764 0.2466 0.2541
F 0.0074 0.6298 0.7534
F 0.7459 0.4926 0.6224
F 0.2466 0.8702 0.9926
CELL_PARAMETERS angstrom
-8.8649 7.2223 -6.4575
-6.1049 -9.6375 6.5035
6.4783 7.6095 8.5191
```

---

# 4
Here is an optimized crystal structure of NaCd3Bi3 from the Alexandria database. Energies are from GGA-PBE. Values from VASP.

Fermi-level density of states: 3.87 states/eV/cell
Space-group type: P6_3/m (176)
Total magnetic moment: 0.00 μB per formula unit
ΔH_f (0 K): -19 meV/atom
Uncorrected energy: -2.263 eV per atom

Geometry as Quantum ESPRESSO input:
```
&SYSTEM
  ibrav = 0, nat = 14, ntyp = 3
/
ATOMIC_SPECIES
Na 22.99 Na.upf
Cd 112.41 Cd.upf
Bi 208.98 Bi.upf
ATOMIC_POSITIONS crystal
Na 0.2500 0.6668 0.3335
Na 0.7500 0.3332 0.6665
Cd 0.2500 0.1077 0.4351
Cd 0.2500 0.5643 0.6725
Cd 0.2500 0.3273 0.8920
Cd 0.7500 0.8923 0.5649
Cd 0.7500 0.4357 0.3275
Cd 0.7500 0.6727 0.1080
Bi 0.2500 0.5561 0.8900
Bi 0.2500 0.1102 0.6661
Bi 0.2500 0.3337 0.4436
Bi 0.7500 0.4439 0.1100
Bi 0.7500 0.8898 0.3339
Bi 0.7500 0.6663 0.5564
CELL_PARAMETERS angstrom
-0.9364 1.4404 -3.1224
9.7899 -6.7607 -6.0550
-12.1480 -5.4271 1.1398
```

---

# 5
Here is an optimized crystal structure of NaV2Cu2 from the Alexandria database. Energies are from GGA-PBE. Values from VASP.

Fermi-level density of states: 9.52 states/eV/cell
Space-group type: P4/mbm (127)
Total magnetic moment: 0.00 μB per formula unit
ΔH_f (0 K): 376 meV/atom
Uncorrected energy: -5.174 eV per atom

Geometry as Quantum ESPRESSO input:
```
&SYSTEM
  ibrav = 0, nat = 10, ntyp = 3
/
ATOMIC_SPECIES
Na 22.99 Na.upf
Cu 63.55 Cu.upf
V 50.94 V.upf
ATOMIC_POSITIONS crystal
Na 0.0000 0.0000 0.0000
Na 0.5000 0.5000 0.0000
Cu 0.1779 0.6779 0.5000
Cu 0.6779 0.8221 0.5000
Cu 0.8221 0.3221 0.5000
Cu 0.3221 0.1779 0.5000
V 0.3865 0.8865 0.0000
V 0.8865 0.6135 0.0000
V 0.6135 0.1135 0.0000
V 0.1135 0.3865 0.0000
CELL_PARAMETERS angstrom
-4.3393 -1.5860 6.2713
1.8086 -7.5479 -0.6575
1.9703 0.3457 1.4507
```

---

# 6
Here is an optimized crystal structure of Tl3Ni from the Alexandria database. Energies are from GGA-PBE. Values from VASP.

Fermi-level density of states: 1.90 states/eV/cell
Space-group type: R-3m (166)
Total magnetic moment: 0.00 μB per formula unit
ΔH_f (0 K): 220 meV/atom
Uncorrected energy: -3.000 eV per atom

Geometry as Quantum ESPRESSO input:
```
&SYSTEM
  ibrav = 0, nat = 4, ntyp = 2
/
ATOMIC_SPECIES
Ni 58.69 Ni.upf
Tl 204.38 Tl.upf
ATOMIC_POSITIONS crystal
Ni 0.0000 0.0000 0.0000
Tl 0.7305 0.7305 0.7305
Tl 0.5000 0.5000 0.5000
Tl 0.2695 0.2695 0.2695
CELL_PARAMETERS angstrom
-6.2847 3.5845 5.6690
-8.0956 0.7964 4.2791
-5.8698 0.2893 7.0672
```